# 1
NaErTm: relaxed, PBE-GGA.

Cell lengths 5.267, 5.267, 5.267 Å; angles 60.00, 60.00, 60.00 degrees
Sites, in units of the cell vectors:
Er1 0.250 0.250 0.250
Na1 0.000 0.000 0.000
Tm1 0.750 0.750 0.750

Results
As for the energy above the most stable polymorph in this dataset: 0.0000 eV/atom. The space group is F-43m (216).

=====

# 2
DyBiN2O: relaxed, PBE-GGA.

Cell lengths 4.195, 4.195, 4.141 Å; angles 90.00, 90.00, 90.00 degrees
Sites, in units of the cell vectors:
Bi1 0.000 0.000 0.500
Dy1 0.500 0.500 0.000
N1 0.500 0.000 0.500
N2 0.000 0.500 0.500
O1 0.000 0.000 0.000

Results
The calculation puts the total energy at -6.120 eV per atom. The space group is P4/mmm (123).

=====

# 3
MgCdAg2: relaxed, PBE-GGA.

Cell lengths 4.772, 4.772, 8.325 Å; angles 90.00, 90.00, 120.00 degrees
Sites, in units of the cell vectors:
Ag1 0.333 0.667 0.084
Ag2 0.333 0.667 0.416
Ag3 0.667 0.333 0.584
Ag4 0.667 0.333 0.916
Cd1 0.667 0.333 0.250
Cd2 0.333 0.667 0.750
Mg1 0.000 0.000 0.250
Mg2 0.000 0.000 0.750

Results
The calculation puts the total energy at -2.034 eV per atom. The space group is P6_3/mmc (194).

=====

# 4
Pr: relaxed, PBE-GGA.

Cell lengths 3.610, 3.610, 3.610 Å; angles 109.47, 109.47, 109.47 degrees
Sites, in units of the cell vectors:
Pr1 0.000 0.000 0.000

Results
As for the energy above the most stable polymorph in this dataset: 0.1252 eV/atom. The space group is Im-3m (229).